(1)
This record from Alexandria describes a relaxed structure of GaMoH2. The functional is PBE-GGA.

Cell: 5.467 5.467 5.349 Å, 90.00 90.00 90.00°
Space group I-42d (No. 122)
Inequivalent atoms, fractional coordinates:
Ga (0.000, 0.000, 0.000) (multiplicity 4)
Mo (0.000, 0.000, 0.500) (multiplicity 4)
H (0.182, 0.250, 0.625) (multiplicity 8)

Values from the calculation:
**Calculated total energy**: -4.9182 eV per atom
**Excess energy over the best structure of this formula in the dataset**: 189 meV/atom
**Volume**: 9.99 A^3/atom
**Crystal system**: tetragonal

(2)
This record from Alexandria describes a relaxed structure of GaMoH2. The functional is PBE-GGA.

Cell: 3.0675 3.0675 14.8228 Å, 90.00 90.00 120.00°
Space group R3m (No. 160, hexagonal axes)
Inequivalent atoms, fractional coordinates:
Ga (0.0000, 0.0000, 0.0000) (multiplicity 3)
Mo (0.0000, 0.0000, 0.1837) (multiplicity 3)
H (0.0000, 0.0000, 0.5541) (multiplicity 3)
H (0.0000, 0.0000, 0.7953) (multiplicity 3)

Values from the calculation:
**Calculated total energy**: -5.0136 eV per atom
**Excess energy over the best structure of this formula in the dataset**: 94 meV/atom
**Volume**: 10.07 A^3/atom
**Crystal system**: trigonal

(3)
This record from Alexandria describes a relaxed structure of GaMo3H3. The functional is PBE-GGA.

Cell: 5.2880 5.2880 19.3654 Å, 90.00 90.00 120.00°
Space group R-3 (No. 148, hexagonal axes)
Inequivalent atoms, fractional coordinates:
Ga (0.0000, 0.0000, 0.1673) (multiplicity 6)
Mo (0.0009, 0.6637, 0.7280) (multiplicity 18)
H (0.0014, 0.6700, 0.2986) (multiplicity 18)

Values from the calculation:
**Calculated total energy**: -6.3051 eV per atom
**Excess energy over the best structure of this formula in the dataset**: 161 meV/atom
**Volume**: 11.17 A^3/atom
**Crystal system**: trigonal